## Pm8IrRh2C (PBE-GGA)

Data for an optimized crystal structure of Pm8IrRh2C.

a = 6.486 Å, b = 8.114 Å, c = 6.622 Å
α = 90.00°, β = 90.20°, γ = 90.00°
Space group P2/m (No. 10)
Symmetry-distinct sites (fractional):
Pm (0.231, 0.231, 0.152)
Pm (0.241, 0.000, 0.686)
Pm (0.262, 0.500, 0.653)
Ir (0.000, 0.500, 0.000)
Rh (0.500, 0.238, 0.500)
C (0.000, 0.000, 0.000)

Output
Volume = 29.04 A^3/atom
Energy relative to the elements = -36.0 kJ per mole of atoms